(1)
A plane-wave DFT calculation with PBE was carried out for PaSi4Rh2 after structural relaxation.

Computed properties:
Energy = -7.221 eV per atom
Formation energy without anion corrections = -0.665 eV per atom
DOS at the Fermi energy = 0.55 states/eV/atom

Cell: 16.9383 4.1514 6.4120 Å, 90.00 90.00 90.00°
Space group Pnma (No. 62)
One atom of each set of equivalent atoms:
Pa1 0.1400 0.2500 0.0156 x4
Si1 0.0291 0.7500 0.1372 x4
Si2 0.0637 0.2500 0.5359 x4
Si3 0.1804 0.7500 0.7015 x4
Si4 0.1990 0.7500 0.2938 x4
Rh1 0.0310 0.7500 0.7454 x4
Rh2 0.2060 0.2500 0.4975 x4

---

(2)
A plane-wave DFT calculation with PBE was carried out for Pm3ErTm2Sb6 after structural relaxation.

Computed properties:
Energy = -5.503 eV per atom
Formation energy without anion corrections = -1.129 eV per atom
DOS at the Fermi energy = 0.16 states/eV/atom

Cell: 19.2454 4.4204 8.8301 Å, 90.00 103.11 90.00°
Space group C2/m (No. 12)
One atom of each set of equivalent atoms:
Pm1 0.0000 0.0000 0.0000 x2
Pm2 0.1665 0.5000 0.3331 x4
Er1 0.0000 0.0000 0.5000 x2
Tm1 0.1667 0.5000 0.8332 x4
Sb1 0.0024 0.5000 0.7450 x4
Sb2 0.1647 0.0000 0.5892 x4
Sb3 0.1690 0.0000 0.0773 x4

---

(3)
A plane-wave DFT calculation with PBE was carried out for NaGaAg3 after structural relaxation.

Computed properties:
Formation energy = -0.002 eV/atom
Energy = -2.582 eV per atom
DOS at the Fermi energy = 0.36 states/eV/atom

Cell: 5.5445 7.6084 10.1934 Å, 90.00 90.00 90.00°
Space group Imma (No. 74)
One atom of each set of equivalent atoms:
Na1 0.0000 0.0000 0.0000 x4
Ga1 0.0000 0.2500 0.4692 x4
Ag1 0.0000 0.0672 0.6858 x8
Ag2 0.2500 0.2500 0.2500 x4

---

(4)
A plane-wave DFT calculation with PBE was carried out for MnBeIr2 after structural relaxation.

Computed properties:
Formation energy = -0.158 eV/atom
Energy = -7.813 eV per atom
DOS at the Fermi energy = 1.04 states/eV/atom

Cell: 2.6765 3.9126 4.9143 Å, 90.00 105.71 90.00°
Space group Pm (No. 6)
One atom of each set of equivalent atoms:
Mn1 0.0000 0.0000 0.0000 x1
Be1 0.1513 0.5000 0.2851 x1
Ir1 0.3994 0.5000 0.7961 x1
Ir2 0.7332 0.0000 0.4603 x1

---

(5)
A plane-wave DFT calculation with PBE was carried out for Y2HPt after structural relaxation.

Computed properties:
Energy = -6.269 eV per atom
DOS at the Fermi energy = 0.63 states/eV/atom

Cell: 6.6293 6.6293 7.2720 Å, 90.00 90.00 90.00°
Space group I-42d (No. 122)
One atom of each set of equivalent atoms:
Y1 0.1844 0.2500 0.1250 x8
H1 0.0000 0.0000 0.0000 x4
Pt1 0.0000 0.0000 0.5000 x4

---

(6)
A plane-wave DFT calculation with PBE was carried out for CaPtSe2N after structural relaxation.

Computed properties:
Energy = -3.405 eV per atom
Formation energy without anion corrections = 1.263 eV per atom
DOS at the Fermi energy = 1.52 states/eV/atom

Cell: 5.3600 5.3600 4.0625 Å, 90.00 90.00 90.00°
Space group P4/mmm (No. 123)
One atom of each set of equivalent atoms:
Ca1 0.0000 0.0000 0.0000 x1
Pt1 0.5000 0.5000 0.5000 x1
Se1 0.0000 0.5000 0.0000 x2
N1 0.0000 0.0000 0.5000 x1

---

(7)
A plane-wave DFT calculation with PBE was carried out for CrGeSb2Te after structural relaxation.

Computed properties:
Energy = -3.774 eV per atom
Formation energy without anion corrections = 1.351 eV per atom
DOS at the Fermi energy = 1.26 states/eV/atom

Cell: 5.2661 5.2661 5.2817 Å, 90.00 90.00 90.00°
Space group P4/mmm (No. 123)
One atom of each set of equivalent atoms:
Cr1 0.0000 0.0000 0.0000 x1
Ge1 0.5000 0.5000 0.5000 x1
Sb1 0.0000 0.5000 0.5000 x2
Te1 0.5000 0.5000 0.0000 x1

---

(8)
A plane-wave DFT calculation with PBE was carried out for Pr5NdDy6 after structural relaxation.

Computed properties:
Formation energy = 0.016 eV/atom
Energy = -4.674 eV per atom
DOS at the Fermi energy = 1.35 states/eV/atom

Cell: 5.1586 10.1591 15.4158 Å, 90.00 90.00 90.00°
Space group Immm (No. 71)
One atom of each set of equivalent atoms:
Pr1 0.0000 0.0000 0.0000 x2
Pr2 0.0000 0.0000 0.3338 x4
Pr3 0.0000 0.5000 0.3333 x4
Nd1 0.0000 0.5000 0.0000 x2
Dy1 0.0000 0.2502 0.1666 x8
Dy2 0.0000 0.2497 0.5000 x4

---

(9)
A plane-wave DFT calculation with PBE was carried out for K2CoIr after structural relaxation.

Computed properties:
Formation energy = 1.068 eV/atom
Energy = -3.472 eV per atom
DOS at the Fermi energy = 0.77 states/eV/atom

Cell: 3.9324 3.9324 10.7193 Å, 90.00 90.00 90.00°
Space group I4/mmm (No. 139)
One atom of each set of equivalent atoms:
K1 0.0000 0.5000 0.2500 x4
Co1 0.0000 0.0000 0.0000 x2
Ir1 0.0000 0.0000 0.5000 x2

---

(10)
A plane-wave DFT calculation with PBE was carried out for Pr2TaNbN5 after structural relaxation.

Computed properties:
Energy = -9.303 eV per atom
Formation energy without anion corrections = -1.180 eV per atom
DOS at the Fermi energy = 0.27 states/eV/atom

Cell: 3.4049 13.5935 10.7849 Å, 90.00 90.00 90.00°
Space group Cmc2_1 (No. 36)
One atom of each set of equivalent atoms:
Pr1 0.0000 0.1068 0.0000 x4
Pr2 0.0000 0.1463 0.5990 x4
Ta1 0.0000 0.2239 0.3228 x4
Nb1 0.0000 0.4691 0.7702 x4
N1 0.0000 0.0552 0.3618 x4
N2 0.0000 0.2795 0.9508 x4
N3 0.0000 0.3153 0.6976 x4
N4 0.0000 0.3690 0.3119 x4
N5 0.0000 0.4921 0.0966 x4

---

(11)
A plane-wave DFT calculation with PBE was carried out for LiNbZn after structural relaxation.

Computed properties:
Formation energy = 0.058 eV/atom
Energy = -4.361 eV per atom
DOS at the Fermi energy = 0.50 states/eV/atom

Cell: 6.2282 2.6357 12.2121 Å, 90.00 90.00 90.00°
Space group Pnma (No. 62)
One atom of each set of equivalent atoms:
Li1 0.1156 0.2500 0.0935 x4
Nb1 0.1027 0.2500 0.4082 x4
Zn1 0.1389 0.2500 0.7533 x4

---

(12)
A plane-wave DFT calculation with PBE was carried out for MnPbSe after structural relaxation.

Computed properties:
Energy = -5.485 eV per atom
Formation energy without anion corrections = -0.031 eV per atom
DOS at the Fermi energy = 0.57 states/eV/atom

Cell: 4.3160 4.3160 4.2679 Å, 90.00 90.00 120.00°
Space group P-6m2 (No. 187)
One atom of each set of equivalent atoms:
Mn1 0.0000 0.0000 0.0000 x1
Pb1 0.6667 0.3333 0.5000 x1
Se1 0.3333 0.6667 0.0000 x1

---

(13)
A plane-wave DFT calculation with PBE was carried out for YErTh2As4 after structural relaxation.

Computed properties:
Formation energy = -1.467 eV/atom
Energy = -7.025 eV per atom
DOS at the Fermi energy = 0.49 states/eV/atom

Cell: 7.2007 4.1938 7.2643 Å, 90.00 109.71 90.00°
Space group P2/m (No. 10)
One atom of each set of equivalent atoms:
Y1 0.0000 0.0000 0.0000 x1
Er1 0.0000 0.5000 0.5000 x1
Th1 0.5000 0.0000 0.5000 x1
Th2 0.5000 0.5000 0.0000 x1
As1 0.2405 0.0000 0.7454 x2
As2 0.2415 0.5000 0.2484 x2

---

(14)
A plane-wave DFT calculation with PBE was carried out for Na3CoTc after structural relaxation.

Computed properties:
Formation energy = 1.591 eV/atom
Energy = -2.695 eV per atom
DOS at the Fermi energy = 3.72 states/eV/atom

Cell: 5.2260 5.2260 5.2260 Å, 90.00 90.00 90.00°
Space group Pm-3m (No. 221)
One atom of each set of equivalent atoms:
Na1 0.0000 0.0000 0.5000 x3
Co1 0.0000 0.0000 0.0000 x1
Tc1 0.5000 0.5000 0.5000 x1

---

(15)
A plane-wave DFT calculation with PBE was carried out for Sr2TlInI6 after structural relaxation.

Computed properties:
Energy = -3.008 eV per atom
Formation energy without anion corrections = -1.231 eV per atom
DOS at the Fermi energy = 0.00 states/eV/atom

Cell: 8.6575 8.6575 22.5861 Å, 90.00 90.00 120.00°
Space group R3 (No. 146, hexagonal axes)
One atom of each set of equivalent atoms:
Sr1 0.0000 0.0000 0.0000 x3
Sr2 0.0000 0.0000 0.4995 x3
Tl1 0.0000 0.0000 0.1993 x3
In1 0.0000 0.0000 0.6982 x3
I1 0.0165 0.6301 0.7585 x9
I2 0.0190 0.3883 0.2596 x9

---

(16)
A plane-wave DFT calculation with PBE was carried out for Pb2SF after structural relaxation.

Computed properties:
Energy = -4.284 eV per atom
Formation energy without anion corrections = -0.930 eV per atom
DOS at the Fermi energy = 0.45 states/eV/atom

Cell: 7.4268 7.4268 6.9121 Å, 90.00 90.00 90.00°
Space group I-42d (No. 122)
One atom of each set of equivalent atoms:
Pb1 0.2295 0.2500 0.1250 x8
S1 0.0000 0.0000 0.5000 x4
F1 0.0000 0.0000 0.0000 x4

---

(17)
A plane-wave DFT calculation with PBE was carried out for BaCoBr3 after structural relaxation.

Computed properties:
Energy = -3.176 eV per atom
Formation energy without anion corrections = -0.366 eV per atom
DOS at the Fermi energy = 2.05 states/eV/atom

Cell: 6.2651 6.2651 6.2651 Å, 90.00 90.00 90.00°
Space group Pm-3m (No. 221)
One atom of each set of equivalent atoms:
Ba1 0.0000 0.0000 0.0000 x1
Co1 0.5000 0.5000 0.5000 x1
Br1 0.0000 0.0000 0.5000 x3

---

(18)
A plane-wave DFT calculation with PBE was carried out for ScAlZn2Cr after structural relaxation.

Computed properties:
Formation energy = 0.727 eV/atom
Energy = -3.722 eV per atom
DOS at the Fermi energy = 0.51 states/eV/atom

Cell: 4.6631 4.6631 5.1417 Å, 90.00 90.00 90.00°
Space group P4/mmm (No. 123)
One atom of each set of equivalent atoms:
Sc1 0.0000 0.0000 0.0000 x1
Al1 0.0000 0.0000 0.5000 x1
Zn1 0.0000 0.5000 0.5000 x2
Cr1 0.5000 0.5000 0.0000 x1

---

(19)
A plane-wave DFT calculation with PBE was carried out for TlPt2O after structural relaxation.

Computed properties:
Energy = -4.919 eV per atom
Formation energy without anion corrections = -0.067 eV per atom
DOS at the Fermi energy = 0.13 states/eV/atom

Cell: 5.2735 5.2735 12.3163 Å, 90.00 90.00 90.00°
Space group I-42d (No. 122)
One atom of each set of equivalent atoms:
Tl1 0.0000 0.0000 0.0000 x4
Pt1 0.0014 0.2500 0.6250 x8
O1 0.0000 0.0000 0.5000 x4

---

(20)
A plane-wave DFT calculation with PBE was carried out for RhSe2N2 after structural relaxation.

Computed properties:
Energy = -5.137 eV per atom
Formation energy without anion corrections = 1.057 eV per atom
DOS at the Fermi energy = 0.65 states/eV/atom

Cell: 3.7757 3.7757 5.9664 Å, 90.00 90.00 90.00°
Space group P4/mmm (No. 123)
One atom of each set of equivalent atoms:
Rh1 0.0000 0.0000 0.0000 x1
Se1 0.0000 0.0000 0.5000 x1
Se2 0.5000 0.5000 0.5000 x1
N1 0.0000 0.5000 0.0000 x2

---

(21)
A plane-wave DFT calculation with PBE was carried out for NbAl3Ga after structural relaxation.

Computed properties:
Formation energy = 0.971 eV/atom
Energy = -3.894 eV per atom
DOS at the Fermi energy = 1.07 states/eV/atom

Cell: 4.6625 4.6625 4.6625 Å, 90.00 90.00 90.00°
Space group Pm-3m (No. 221)
One atom of each set of equivalent atoms:
Nb1 0.0000 0.0000 0.0000 x1
Al1 0.0000 0.5000 0.5000 x3
Ga1 0.5000 0.5000 0.5000 x1

---

(22)
A plane-wave DFT calculation with PBE was carried out for CsSmPbS3 after structural relaxation.

Computed properties:
Energy = -4.964 eV per atom
Formation energy without anion corrections = -1.354 eV per atom
DOS at the Fermi energy = 0.00 states/eV/atom

Cell: 8.7755 4.1639 12.6597 Å, 90.00 109.41 90.00°
Space group P2_1/m (No. 11)
One atom of each set of equivalent atoms:
Cs1 0.1954 0.2500 0.2188 x2
Sm1 0.3716 0.7500 0.8611 x2
Pb1 0.1798 0.2500 0.5867 x2
S1 0.1360 0.2500 0.7861 x2
S2 0.3882 0.7500 0.6385 x2
S3 0.3995 0.7500 0.0852 x2

---

(23)
A plane-wave DFT calculation with PBE was carried out for LaBi3Os after structural relaxation.

Computed properties:
Formation energy = 2.002 eV/atom
Energy = -3.558 eV per atom
DOS at the Fermi energy = 2.44 states/eV/atom

Cell: 5.9477 5.9477 5.9477 Å, 90.00 90.00 90.00°
Space group Pm-3m (No. 221)
One atom of each set of equivalent atoms:
La1 0.0000 0.0000 0.0000 x1
Bi1 0.0000 0.0000 0.5000 x3
Os1 0.5000 0.5000 0.5000 x1

---

(24)
A plane-wave DFT calculation with PBE was carried out for AlCoCl2 after structural relaxation.

Computed properties:
Energy = -3.805 eV per atom
Formation energy without anion corrections = -0.170 eV per atom
DOS at the Fermi energy = 0.55 states/eV/atom

Cell: 8.4749 8.4749 4.7088 Å, 90.00 90.00 90.00°
Space group I-42d (No. 122)
One atom of each set of equivalent atoms:
Al1 0.0000 0.0000 0.0000 x4
Co1 0.0000 0.0000 0.5000 x4
Cl1 0.0939 0.2500 0.6250 x8